MgCu4Se2: relaxed, GGA-PBE.

The structure belongs to space group I4/mmm (No. 139); the cell edges are 6.5783, 6.5783 and 5.3658 Å and the angles 90.00°, 90.00° and 90.00°. The inequivalent atoms are Mg at (0.0000, 0.0000, 0.0000), Cu at (0.1843, 0.1843, 0.5000) and Se at (0.0000, 0.5000, 0.2500).

The uncorrected formation energy is 238 meV per atom. As for the density of states at the Fermi level: 7.483 states/eV/cell. The value obtained for the excess energy over the best structure of this formula in the dataset is 506 meV per atom. The calculation puts the volume at 232.20 Å³/cell.